[1]
Computed, not measured: a relaxed Ta2SbBr crystal at the GGA-PBE level of DFT.

It has space group I-4m2 (No. 119), with a = 4.428 Å, b = 4.428 Å, c = 8.191 Å, α = 90.00°, β = 90.00° and γ = 90.00°. The distinct sites, in fractional coordinates, are Ta at (0.000, 0.000, 0.000), Ta at (0.000, 0.500, 0.250), Sb at (0.000, 0.000, 0.500) and Br at (0.000, 0.500, 0.750).

The density of states at the Fermi level is 0.4125 states/eV per atom. As for the crystal system: tetragonal. The calculation puts the uncorrected formation energy at 0.661 eV per atom. As for the energy above the most stable polymorph in this dataset: 745 meV per atom.

[2]
Computed, not measured: a relaxed TaSbBr crystal at the GGA-PBE level of DFT.

It has space group P1 (No. 1), with a = 3.290 Å, b = 6.196 Å, c = 8.682 Å, α = 71.34°, β = 79.14° and γ = 83.82°. The distinct sites, in fractional coordinates, are Ta at (0.000, 0.000, 0.000), Ta at (0.480, 0.616, 0.019), Sb at (0.114, 0.493, 0.767), Sb at (0.601, 0.003, 0.718), Br at (0.370, 0.149, 0.196) and Br at (0.859, 0.618, 0.264).

The density of states at the Fermi level is 0.3436 states/eV per atom. As for the crystal system: triclinic. The calculation puts the uncorrected formation energy at -0.216 eV per atom. As for the energy above the most stable polymorph in this dataset: 0 meV per atom.

[3]
Computed, not measured: a relaxed TaSb2Br crystal at the GGA-PBE level of DFT.

It has space group I-42d (No. 122), with a = 6.722 Å, b = 6.722 Å, c = 13.275 Å, α = 90.00°, β = 90.00° and γ = 90.00°. The distinct sites, in fractional coordinates, are Ta at (0.000, 0.000, 0.000), Sb at (0.179, 0.250, 0.125) and Br at (0.000, 0.000, 0.500).

The density of states at the Fermi level is 0.3716 states/eV per atom. As for the crystal system: tetragonal. The calculation puts the uncorrected formation energy at 0.560 eV per atom. As for the energy above the most stable polymorph in this dataset: 611 meV per atom.

[4]
Computed, not measured: a relaxed TaSbBr4 crystal at the GGA-PBE level of DFT.

It has space group F-43m (No. 216), with a = 8.452 Å, b = 8.452 Å, c = 8.452 Å, α = 90.00°, β = 90.00° and γ = 90.00°. The distinct sites, in fractional coordinates, are Ta at (0.000, 0.000, 0.000), Sb at (0.250, 0.250, 0.250) and Br at (0.126, 0.126, 0.626).

The density of states at the Fermi level is 1.3715 states/eV per atom. As for the crystal system: cubic. The calculation puts the uncorrected formation energy at 1.221 eV per atom.

[5]
Computed, not measured: a relaxed TaSb2Br crystal at the GGA-PBE level of DFT.

It has space group Cmmm (No. 65), with a = 7.021 Å, b = 8.256 Å, c = 3.159 Å, α = 90.00°, β = 90.00° and γ = 90.00°. The distinct sites, in fractional coordinates, are Ta at (0.000, 0.000, 0.000), Sb at (0.250, 0.250, 0.500) and Br at (0.000, 0.500, 0.000).

The density of states at the Fermi level is 0.7841 states/eV per atom. As for the crystal system: orthorhombic. The calculation puts the uncorrected formation energy at 0.537 eV per atom. As for the energy above the most stable polymorph in this dataset: 588 meV per atom.

[6]
Computed, not measured: a relaxed TaSbBr crystal at the GGA-PBE level of DFT.

It has space group Cm (No. 8), with a = 12.878 Å, b = 3.298 Å, c = 8.920 Å, α = 90.00°, β = 119.97° and γ = 90.00°. The distinct sites, in fractional coordinates, are Ta at (0.000, 0.000, 0.000), Ta at (0.161, 0.500, 0.905), Sb at (0.290, 0.000, 0.783), Sb at (0.465, 0.500, 0.658), Br at (0.030, 0.500, 0.251) and Br at (0.238, 0.000, 0.169).

The density of states at the Fermi level is 0.2755 states/eV per atom. As for the crystal system: monoclinic. The calculation puts the uncorrected formation energy at -0.184 eV per atom. As for the energy above the most stable polymorph in this dataset: 32 meV per atom.

[7]
Computed, not measured: a relaxed TaSb2Br crystal at the GGA-PBE level of DFT.

It has space group C2/m (No. 12), with a = 8.196 Å, b = 7.898 Å, c = 3.183 Å, α = 90.00°, β = 110.13° and γ = 90.00°. The distinct sites, in fractional coordinates, are Ta at (0.000, 0.000, 0.000), Sb at (0.250, 0.250, 0.500) and Br at (0.000, 0.500, 0.000).

The density of states at the Fermi level is 0.7204 states/eV per atom. As for the crystal system: monoclinic. The calculation puts the uncorrected formation energy at 0.396 eV per atom. As for the energy above the most stable polymorph in this dataset: 448 meV per atom.

[8]
Computed, not measured: a relaxed Ta2SbBr crystal at the GGA-PBE level of DFT.

It has space group Cmmm (No. 65), with a = 3.356 Å, b = 5.289 Å, c = 9.194 Å, α = 90.00°, β = 90.00° and γ = 90.00°. The distinct sites, in fractional coordinates, are Ta at (0.000, 0.000, 0.247), Sb at (0.000, 0.500, 0.000) and Br at (0.000, 0.500, 0.500).

The density of states at the Fermi level is 0.9394 states/eV per atom. As for the crystal system: orthorhombic. The calculation puts the uncorrected formation energy at 0.588 eV per atom. As for the energy above the most stable polymorph in this dataset: 672 meV per atom.

[9]
Computed, not measured: a relaxed TaSb2Br crystal at the GGA-PBE level of DFT.

It has space group Cm (No. 8), with a = 10.204 Å, b = 3.386 Å, c = 7.730 Å, α = 90.00°, β = 104.41° and γ = 90.00°. The distinct sites, in fractional coordinates, are Ta at (0.000, 0.000, 0.000), Sb at (0.079, 0.500, 0.317), Sb at (0.227, 0.500, 0.044) and Br at (0.394, 0.000, 0.741).

The density of states at the Fermi level is 0.5230 states/eV per atom. As for the crystal system: monoclinic. The calculation puts the uncorrected formation energy at -0.051 eV per atom. As for the energy above the most stable polymorph in this dataset: 0 meV per atom.

[10]
Computed, not measured: a relaxed TaSb2Br2 crystal at the GGA-PBE level of DFT.

It has space group I4/mmm (No. 139), with a = 3.848 Å, b = 3.848 Å, c = 22.689 Å, α = 90.00°, β = 90.00° and γ = 90.00°. The distinct sites, in fractional coordinates, are Ta at (0.000, 0.000, 0.000), Sb at (0.000, 0.500, 0.250) and Br at (0.000, 0.000, 0.431).

The density of states at the Fermi level is 0.8252 states/eV per atom. As for the crystal system: tetragonal. The calculation puts the uncorrected formation energy at 0.747 eV per atom. As for the energy above the most stable polymorph in this dataset: 0 meV per atom.

[11]
Computed, not measured: a relaxed TaSb2Br crystal at the GGA-PBE level of DFT.

It has space group F-43m (No. 216), with a = 7.125 Å, b = 7.125 Å, c = 7.125 Å, α = 90.00°, β = 90.00° and γ = 90.00°. The distinct sites, in fractional coordinates, are Ta at (0.000, 0.000, 0.000), Sb at (0.000, 0.000, 0.500), Sb at (0.250, 0.250, 0.250) and Br at (0.250, 0.250, 0.750).

The density of states at the Fermi level is 0.7033 states/eV per atom. As for the crystal system: cubic. The calculation puts the uncorrected formation energy at 0.535 eV per atom. As for the energy above the most stable polymorph in this dataset: 586 meV per atom.

[12]
Computed, not measured: a relaxed TaSb2Br crystal at the GGA-PBE level of DFT.

It has space group C2/m (No. 12), with a = 6.346 Å, b = 3.659 Å, c = 9.530 Å, α = 90.00°, β = 102.18° and γ = 90.00°. The distinct sites, in fractional coordinates, are Ta at (0.000, 0.000, 0.000), Sb at (0.103, 0.500, 0.799) and Br at (0.000, 0.500, 0.500).

The density of states at the Fermi level is 0.4792 states/eV per atom. As for the crystal system: monoclinic. The calculation puts the uncorrected formation energy at 0.039 eV per atom. As for the energy above the most stable polymorph in this dataset: 90 meV per atom.

Total magnetic moment across the listed records, respectively: 0.000, 0.000, 0.000, 0.021, 0.000, 0.000, 0.016, 0.000, 0.115, 3.525, 0.000, 0.000 μB per cell.